# 1
# Sm2Zn3In, optimized geometry, DFT PBE
# Volume ... 1095 Å³/cell
# Crystal system ... orthorhombic
# E ... -146.908 eV for the cell shown
# DOS at the Fermi energy ... 40.744 states/eV per cell
data_Sm2Zn3In
_space_group_name_H-M_alt 'F m m m'
_space_group_IT_number 69
_space_group_name_Hall '-F 2 2'
_cell_length_a 7.391
_cell_length_b 9.261
_cell_length_c 16.002
_cell_angle_alpha 90.00
_cell_angle_beta 90.00
_cell_angle_gamma 90.00
loop_
_atom_site_label
_atom_site_type_symbol
_atom_site_fract_x
_atom_site_fract_y
_atom_site_fract_z
Sm1 Sm 0.241 0.000 0.000
Sm2 Sm 0.250 0.250 0.250
Zn1 Zn 0.000 0.000 0.163
Zn2 Zn 0.000 0.245 0.081
In1 In 0.000 0.000 0.335



# 2
# TcAg3Se, optimized geometry, DFT PBE
# Volume ... 135 Å³/cell
# Crystal system ... cubic
# ΔE_f (raw) ... 7.4 eV/f.u.
# DOS at the Fermi energy ... 5.711 states/eV per cell
data_TcAg3Se
_space_group_name_H-M_alt 'P m -3 m'
_space_group_IT_number 221
_space_group_name_Hall '-P 4 2 3'
_cell_length_a 5.133
_cell_length_b 5.133
_cell_length_c 5.133
_cell_angle_alpha 90.00
_cell_angle_beta 90.00
_cell_angle_gamma 90.00
loop_
_atom_site_label
_atom_site_type_symbol
_atom_site_fract_x
_atom_site_fract_y
_atom_site_fract_z
Tc1 Tc 0.000 0.000 0.000
Ag1 Ag 0.000 0.000 0.500
Se1 Se 0.500 0.500 0.500



# 3
# LaCe2DyBi5, optimized geometry, DFT PBE
# Volume ... 359 Å³/cell
# Crystal system ... tetragonal
# E ... -42.326 eV for the cell shown
# DOS at the Fermi energy ... 21.295 states/eV per cell
data_LaCe2DyBi5
_space_group_name_H-M_alt 'P 4/m m m'
_space_group_IT_number 123
_space_group_name_Hall '-P 4 2'
_cell_length_a 5.443
_cell_length_b 5.443
_cell_length_c 12.122
_cell_angle_alpha 90.00
_cell_angle_beta 90.00
_cell_angle_gamma 90.00
loop_
_atom_site_label
_atom_site_type_symbol
_atom_site_fract_x
_atom_site_fract_y
_atom_site_fract_z
La1 La 0.000 0.000 0.000
Ce1 Ce 0.500 0.500 0.280
Dy1 Dy 0.000 0.000 0.500
Bi1 Bi 0.000 0.000 0.252
Bi2 Bi 0.000 0.500 0.500
Bi3 Bi 0.500 0.500 0.000



# 4
# Ba2FeSe, optimized geometry, DFT PBE
# Volume ... 445 Å³/cell
# Crystal system ... trigonal
# ΔE_f (raw) ... -1.6 eV/f.u.
# DOS at the Fermi energy ... 11.334 states/eV per cell
data_Ba2FeSe
_space_group_name_H-M_alt 'R -3 m'
_space_group_IT_number 166
_space_group_name_Hall '-R 3 2"'
_cell_length_a 4.5846
_cell_length_b 4.5846
_cell_length_c 24.4482
_cell_angle_alpha 90.00
_cell_angle_beta 90.00
_cell_angle_gamma 120.00
loop_
_atom_site_label
_atom_site_type_symbol
_atom_site_fract_x
_atom_site_fract_y
_atom_site_fract_z
Ba1 Ba 0.0000 0.0000 0.2468
Fe1 Fe 0.0000 0.0000 0.0000
Se1 Se 0.0000 0.0000 0.5000



Number 1: magnetization 0.01 μB per cell. Number 2: magnetization 3.97 μB per cell. Number 3: magnetization 1.95 μB per cell. Number 4: magnetization 6.73 μB per cell.